# 1
# PBE-GGA ErGa3Pd, optimized geometry
# excess energy over the best structure of this formula in the dataset = 0.055 eV/atom
# DFT total energy = -4.346 eV per atom
# ΔH_f (0 K) = -578.9 meV/atom
# total magnetization = 0.00 μB per formula unit
data_ErGa3Pd
_cell_length_a 8.448
_cell_length_b 5.676
_cell_length_c 7.621
_cell_angle_alpha 90.00
_cell_angle_beta 96.87
_cell_angle_gamma 90.00
_symmetry_space_group_name_H-M 'P 1 21/c 1'
_symmetry_Int_Tables_number 14
loop_
_symmetry_equiv_pos_as_xyz
'x,y,z'
'-x,-y,-z'
'-x,y+1/2,-z+1/2'
'x,-y+1/2,z+1/2'
loop_
_atom_site_label
_atom_site_type_symbol
_atom_site_fract_x
_atom_site_fract_y
_atom_site_fract_z
Er1 Er 0.124 0.124 0.193
Ga1 Ga 0.127 0.619 0.056
Ga2 Ga 0.269 0.605 0.368
Ga3 Ga 0.382 0.163 0.498
Pd1 Pd 0.455 0.564 0.699


# 2
# PBE-GGA BeAl2Ru, optimized geometry
# DFT total energy = -5.178 eV per atom
# ΔH_f (0 K) = -55.9 meV/atom
# total magnetization = 0.00 μB per formula unit
data_BeAl2Ru
_cell_length_a 2.8128
_cell_length_b 2.8128
_cell_length_c 24.0274
_cell_angle_alpha 90.00
_cell_angle_beta 90.00
_cell_angle_gamma 120.00
_symmetry_space_group_name_H-M 'R -3 m'
_symmetry_Int_Tables_number 166
_symmetry_space_group_name_Hall '-R 3 2"'
loop_
_atom_site_label
_atom_site_type_symbol
_atom_site_fract_x
_atom_site_fract_y
_atom_site_fract_z
Be1 Be 0.0000 0.0000 0.0000
Al1 Al 0.0000 0.0000 0.2509
Ru1 Ru 0.0000 0.0000 0.5000


# 3
# PBE-GGA Ba2GaAgPb6, optimized geometry
# DFT total energy = -3.362 eV per atom
# ΔH_f (0 K) = -164.9 meV/atom
# total magnetization = 0.00 μB per formula unit
data_Ba2GaAgPb6
_cell_length_a 7.6586
_cell_length_b 7.6586
_cell_length_c 40.2210
_cell_angle_alpha 90.00
_cell_angle_beta 90.00
_cell_angle_gamma 120.00
_symmetry_space_group_name_H-M 'R -3 m'
_symmetry_Int_Tables_number 166
_symmetry_space_group_name_Hall '-R 3 2"'
loop_
_atom_site_label
_atom_site_type_symbol
_atom_site_fract_x
_atom_site_fract_y
_atom_site_fract_z
Ba1 Ba 0.0000 0.0000 0.1159
Ba2 Ba 0.0000 0.0000 0.2923
Ga1 Ga 0.0000 0.0000 0.4304
Ag1 Ag 0.0000 0.0000 0.0000
Ag2 Ag 0.0000 0.0000 0.5000
Pb1 Pb 0.0425 0.5212 0.2919
Pb2 Pb 0.0559 0.5280 0.8706


# 4
# PBE-GGA AlOsNF2, optimized geometry
# excess energy over the best structure of this formula in the dataset = 0.231 eV/atom
# E_form (uncorrected) = -0.27 eV per atom
# DFT total energy = -5.683 eV per atom
# total magnetization = 0.00 μB per formula unit
data_AlOsNF2
_cell_length_a 4.370
_cell_length_b 4.370
_cell_length_c 3.756
_cell_angle_alpha 90.00
_cell_angle_beta 90.00
_cell_angle_gamma 90.00
_symmetry_space_group_name_H-M 'P 4/m m m'
_symmetry_Int_Tables_number 123
_symmetry_space_group_name_Hall '-P 4 2'
loop_
_atom_site_label
_atom_site_type_symbol
_atom_site_fract_x
_atom_site_fract_y
_atom_site_fract_z
Al1 Al 0.000 0.000 0.000
Os1 Os 0.500 0.500 0.500
N1 N 0.500 0.500 0.000
F1 F 0.000 0.500 0.500


# 5
# PBE-GGA Li2LaTa, optimized geometry
# excess energy over the best structure of this formula in the dataset = 0.457 eV/atom
# DFT total energy = -4.353 eV per atom
# ΔH_f (0 K) = 799.3 meV/atom
# total magnetization = 0.00 μB per formula unit
data_Li2LaTa
_cell_length_a 7.893
_cell_length_b 7.893
_cell_length_c 5.677
_cell_angle_alpha 90.00
_cell_angle_beta 90.00
_cell_angle_gamma 90.00
_symmetry_space_group_name_H-M 'I -4 2 d'
_symmetry_Int_Tables_number 122
_symmetry_space_group_name_Hall 'I -4 2bw'
loop_
_atom_site_label
_atom_site_type_symbol
_atom_site_fract_x
_atom_site_fract_y
_atom_site_fract_z
Li1 Li 0.229 0.250 0.125
La1 La 0.000 0.000 0.500
Ta1 Ta 0.000 0.000 0.000


# 6
# PBE-GGA Sc3InSb, optimized geometry
# excess energy over the best structure of this formula in the dataset = 0.444 eV/atom
# E_form (uncorrected) = -0.03 eV per atom
# DFT total energy = -5.203 eV per atom
# total magnetization = 0.00 μB per formula unit
data_Sc3InSb
_cell_length_a 5.297
_cell_length_b 5.297
_cell_length_c 5.297
_cell_angle_alpha 90.00
_cell_angle_beta 90.00
_cell_angle_gamma 90.00
_symmetry_space_group_name_H-M 'P m -3 m'
_symmetry_Int_Tables_number 221
_symmetry_space_group_name_Hall '-P 4 2 3'
loop_
_atom_site_label
_atom_site_type_symbol
_atom_site_fract_x
_atom_site_fract_y
_atom_site_fract_z
Sc1 Sc 0.000 0.000 0.500
In1 In 0.500 0.500 0.500
Sb1 Sb 0.000 0.000 0.000


# 7
# PBE-GGA Tb2PdAu, optimized geometry
# DFT total energy = -5.330 eV per atom
# ΔH_f (0 K) = -897.2 meV/atom
# total magnetization = 0.00 μB per formula unit
data_Tb2PdAu
_cell_length_a 5.674
_cell_length_b 4.671
_cell_length_c 7.560
_cell_angle_alpha 90.00
_cell_angle_beta 109.60
_cell_angle_gamma 90.00
_symmetry_space_group_name_H-M 'P 1 21/m 1'
_symmetry_Int_Tables_number 11
loop_
_symmetry_equiv_pos_as_xyz
'x,y,z'
'-x,-y,-z'
'-x,y+1/2,-z'
'x,-y+1/2,z'
loop_
_atom_site_label
_atom_site_type_symbol
_atom_site_fract_x
_atom_site_fract_y
_atom_site_fract_z
Tb1 Tb 0.220 0.250 0.432
Tb2 Tb 0.229 0.250 0.930
Pd1 Pd 0.328 0.750 0.707
Au1 Au 0.327 0.750 0.208


# 8
# PBE-GGA SiIrRh2, optimized geometry
# E_form (uncorrected) = 0.13 eV per atom
# DFT total energy = -7.113 eV per atom
# total magnetization = 0.00 μB per formula unit
data_SiIrRh2
_cell_length_a 3.694
_cell_length_b 3.694
_cell_length_c 17.758
_cell_angle_alpha 90.00
_cell_angle_beta 90.00
_cell_angle_gamma 90.00
_symmetry_space_group_name_H-M 'I -4 2 d'
_symmetry_Int_Tables_number 122
_symmetry_space_group_name_Hall 'I -4 2bw'
loop_
_atom_site_label
_atom_site_type_symbol
_atom_site_fract_x
_atom_site_fract_y
_atom_site_fract_z
Si1 Si 0.000 0.000 0.000
Ir1 Ir 0.000 0.000 0.500
Rh1 Rh 0.246 0.250 0.125


# 9
# PBE-GGA La2U2Se7, optimized geometry
# E_form (uncorrected) = -1.53 eV per atom
# DFT total energy = -6.698 eV per atom
# total magnetization = 4.00 μB per formula unit
data_La2U2Se7
_cell_length_a 4.189
_cell_length_b 15.014
_cell_length_c 9.106
_cell_angle_alpha 90.00
_cell_angle_beta 90.00
_cell_angle_gamma 90.00
_symmetry_space_group_name_H-M 'I m m 2'
_symmetry_Int_Tables_number 44
loop_
_symmetry_equiv_pos_as_xyz
'x,y,z'
'-x,-y,z'
'-x,y,z'
'x,-y,z'
'x+1/2,y+1/2,z+1/2'
'-x+1/2,-y+1/2,z+1/2'
'-x+1/2,y+1/2,z+1/2'
'x+1/2,-y+1/2,z+1/2'
loop_
_atom_site_label
_atom_site_type_symbol
_atom_site_fract_x
_atom_site_fract_y
_atom_site_fract_z
La1 La 0.000 0.239 0.000
U1 U 0.000 0.000 0.752
U2 U 0.000 0.500 0.802
Se1 Se 0.000 0.000 0.075
Se2 Se 0.000 0.105 0.477
Se3 Se 0.000 0.321 0.701
Se4 Se 0.000 0.371 0.300


# 10
# PBE-GGA TbPm2Pr2Dy, optimized geometry
# DFT total energy = -4.658 eV per atom
# ΔH_f (0 K) = 57.4 meV/atom
# total magnetization = 0.00 μB per formula unit
data_TbPm2Pr2Dy
_cell_length_a 7.104
_cell_length_b 5.747
_cell_length_c 9.955
_cell_angle_alpha 90.00
_cell_angle_beta 90.00
_cell_angle_gamma 90.00
_symmetry_space_group_name_H-M 'P m m a'
_symmetry_Int_Tables_number 51
loop_
_symmetry_equiv_pos_as_xyz
'x,y,z'
'-x,-y,-z'
'-x+1/2,-y,z'
'x+1/2,y,-z'
'x+1/2,-y,-z'
'-x+1/2,y,z'
'-x,y,-z'
'x,-y,z'
loop_
_atom_site_label
_atom_site_type_symbol
_atom_site_fract_x
_atom_site_fract_y
_atom_site_fract_z
Tb1 Tb 0.000 0.000 0.000
Pm1 Pm 0.250 0.000 0.336
Pm2 Pm 0.250 0.500 0.832
Pr1 Pr 0.000 0.500 0.500
Pr2 Pr 0.250 0.000 0.676
Dy1 Dy 0.250 0.500 0.160


# 11
# PBE-GGA AcSmZnSn, optimized geometry
# DFT total energy = -3.974 eV per atom
# ΔH_f (0 K) = -448.4 meV/atom
# total magnetization = 0.00 μB per formula unit
data_AcSmZnSn
_cell_length_a 7.772
_cell_length_b 7.772
_cell_length_c 7.772
_cell_angle_alpha 90.00
_cell_angle_beta 90.00
_cell_angle_gamma 90.00
_symmetry_space_group_name_H-M 'F -4 3 m'
_symmetry_Int_Tables_number 216
_symmetry_space_group_name_Hall 'F -4 2 3'
loop_
_atom_site_label
_atom_site_type_symbol
_atom_site_fract_x
_atom_site_fract_y
_atom_site_fract_z
Ac1 Ac 0.000 0.000 0.000
Sm1 Sm 0.000 0.000 0.500
Zn1 Zn 0.250 0.250 0.250
Sn1 Sn 0.250 0.250 0.750


# 12
# PBE-GGA Be2Ge2Pd, optimized geometry
# excess energy over the best structure of this formula in the dataset = 0.000 eV/atom
# DFT total energy = -4.125 eV per atom
# ΔH_f (0 K) = 251.2 meV/atom
# total magnetization = 0.00 μB per formula unit
data_Be2Ge2Pd
_cell_length_a 6.849
_cell_length_b 6.849
_cell_length_c 3.027
_cell_angle_alpha 90.00
_cell_angle_beta 90.00
_cell_angle_gamma 90.00
_symmetry_space_group_name_H-M 'P 4/m b m'
_symmetry_Int_Tables_number 127
_symmetry_space_group_name_Hall '-P 4 2ab'
loop_
_atom_site_label
_atom_site_type_symbol
_atom_site_fract_x
_atom_site_fract_y
_atom_site_fract_z
Be1 Be 0.115 0.385 0.000
Ge1 Ge 0.172 0.672 0.500
Pd1 Pd 0.000 0.000 0.500


Repeat the seventh record exactly.
# PBE-GGA Tb2PdAu, optimized geometry
# DFT total energy = -5.330 eV per atom
# ΔH_f (0 K) = -897.2 meV/atom
# total magnetization = 0.00 μB per formula unit
data_Tb2PdAu
_cell_length_a 5.674
_cell_length_b 4.671
_cell_length_c 7.560
_cell_angle_alpha 90.00
_cell_angle_beta 109.60
_cell_angle_gamma 90.00
_symmetry_space_group_name_H-M 'P 1 21/m 1'
_symmetry_Int_Tables_number 11
loop_
_symmetry_equiv_pos_as_xyz
'x,y,z'
'-x,-y,-z'
'-x,y+1/2,-z'
'x,-y+1/2,z'
loop_
_atom_site_label
_atom_site_type_symbol
_atom_site_fract_x
_atom_site_fract_y
_atom_site_fract_z
Tb1 Tb 0.220 0.250 0.432
Tb2 Tb 0.229 0.250 0.930
Pd1 Pd 0.328 0.750 0.707
Au1 Au 0.327 0.750 0.208